(1)
AcPm7Tm4: optimized geometry, GGA-PBE.

Cell lengths 6.3276, 7.3104, 9.0030 Å; angles 90.07, 103.62, 90.03 degrees
Space group P-1 (No. 2)
Unique sites:
Ac: 0.0000 0.0000 0.0000 [1 per cell]
Pm: 0.0000 0.5000 0.0000 [1 per cell]
Pm: 0.2259 0.9993 0.6611 [2 per cell]
Pm: 0.2831 0.7453 0.3381 [2 per cell]
Pm: 0.5002 0.2568 0.0017 [2 per cell]
Tm: 0.2170 0.4993 0.6637 [2 per cell]
Tm: 0.2792 0.2581 0.3366 [2 per cell]

Properties
Mass density: 7.9 g/cm³
ΔH_f (0 K): 0.01 eV/atom
Total energy: -4.592 eV/atom


(2)
AcPm10Tm4: optimized geometry, GGA-PBE.

Cell lengths 12.7114, 12.7114, 6.8885 Å; angles 90.00, 90.00, 90.00 degrees
Space group I4/m (No. 87)
Unique sites:
Ac: 0.0000 0.0000 0.0000 [2 per cell]
Pm: 0.0000 0.5000 0.2500 [4 per cell]
Pm: 0.1282 0.2895 0.2473 [16 per cell]
Tm: 0.0679 0.8214 0.5000 [8 per cell]

Properties
Mass density: 7.0 g/cm³
ΔH_f (0 K): 0.49 eV/atom
Total energy: -4.145 eV/atom


(3)
Ac3Pm2Tm2: optimized geometry, GGA-PBE.

Cell lengths 5.6204, 25.0887, 3.7256 Å; angles 90.00, 90.00, 90.00 degrees
Space group Cmmm (No. 65)
Unique sites:
Ac: 0.0000 0.0000 0.0000 [2 per cell]
Ac: 0.0000 0.1548 0.0000 [4 per cell]
Pm: 0.0000 0.4264 0.5000 [4 per cell]
Tm: 0.0000 0.2850 0.5000 [4 per cell]

Properties
Mass density: 8.3 g/cm³
ΔH_f (0 K): 0.06 eV/atom
Total energy: -4.332 eV/atom


Repeat the second record exactly.
AcPm10Tm4: optimized geometry, GGA-PBE.

Cell lengths 12.7114, 12.7114, 6.8885 Å; angles 90.00, 90.00, 90.00 degrees
Space group I4/m (No. 87)
Unique sites:
Ac: 0.0000 0.0000 0.0000 [2 per cell]
Pm: 0.0000 0.5000 0.2500 [4 per cell]
Pm: 0.1282 0.2895 0.2473 [16 per cell]
Tm: 0.0679 0.8214 0.5000 [8 per cell]

Properties
Mass density: 7.0 g/cm³
ΔH_f (0 K): 0.49 eV/atom
Total energy: -4.145 eV/atom


Please write out number 2 again, unchanged.
AcPm10Tm4: optimized geometry, GGA-PBE.

Cell lengths 12.7114, 12.7114, 6.8885 Å; angles 90.00, 90.00, 90.00 degrees
Space group I4/m (No. 87)
Unique sites:
Ac: 0.0000 0.0000 0.0000 [2 per cell]
Pm: 0.0000 0.5000 0.2500 [4 per cell]
Pm: 0.1282 0.2895 0.2473 [16 per cell]
Tm: 0.0679 0.8214 0.5000 [8 per cell]

Properties
Mass density: 7.0 g/cm³
ΔH_f (0 K): 0.49 eV/atom
Total energy: -4.145 eV/atom


What did the first record say?
AcPm7Tm4: optimized geometry, GGA-PBE.

Cell lengths 6.3276, 7.3104, 9.0030 Å; angles 90.07, 103.62, 90.03 degrees
Space group P-1 (No. 2)
Unique sites:
Ac: 0.0000 0.0000 0.0000 [1 per cell]
Pm: 0.0000 0.5000 0.0000 [1 per cell]
Pm: 0.2259 0.9993 0.6611 [2 per cell]
Pm: 0.2831 0.7453 0.3381 [2 per cell]
Pm: 0.5002 0.2568 0.0017 [2 per cell]
Tm: 0.2170 0.4993 0.6637 [2 per cell]
Tm: 0.2792 0.2581 0.3366 [2 per cell]

Properties
Mass density: 7.9 g/cm³
ΔH_f (0 K): 0.01 eV/atom
Total energy: -4.592 eV/atom